No. 1
K2ZnAg3Sn4 after structural relaxation, computed with PBE.

```
K2ZnAg3Sn4
1.0
4.728 0.000 0.000
0.000 4.728 0.000
0.000 0.000 12.015
Sn Ag K Zn
4 3 2 1
direct
0.000 0.000 0.000
0.500 0.500 0.000
0.000 0.500 0.374
0.500 0.000 0.626
0.500 0.000 0.859
0.000 0.500 0.141
0.000 0.000 0.500
0.500 0.000 0.255
0.000 0.500 0.745
0.500 0.500 0.500
```

Calculated values
space-group type: No. 115
formation energy: -92 meV per atom
total moment: 0.00 μB/f.u.
E_tot: -29.0 eV/f.u.
D(E_F): 0.477 states/eV/atom



No. 2
KSrAg2 after structural relaxation, computed with PBE.

```
KSrAg2
1.0
8.893 0.017 0.039
-3.552 4.365 0.005
1.789 1.459 3.285
K Sr Ag
1 1 2
direct
0.000 0.500 0.500
0.500 0.500 0.000
0.500 0.000 0.500
0.000 0.000 0.000
```

Calculated values
polymorph energy (0 for the lowest one): 49 meV per atom
space-group type: No. 12
formation energy: -71 meV per atom
total moment: 0.00 μB/f.u.
E_tot: -8.8 eV/f.u.
D(E_F): 0.395 states/eV/atom